This record from the Alexandria database describes a geometry-optimized RbCaNb structure. The functional is GGA-PBE.

Output
For the formation energy, the calculation gives 2.040 eV/atom. The calculation puts the distance to the lowest polymorph of the same formula at 1694.8 meV per atom. The value obtained for the total magnetic moment is 11.7 Bohr magnetons per cell. The crystal system is hexagonal.

Cell: 6.9707 6.9707 12.0450 Å, 90.00 90.00 120.00°
Fractional positions:
Nb1 0.0000 0.0000 0.0000
Nb2 0.0000 0.0000 0.5000
Ca1 0.0000 0.0000 0.2500
Ca2 0.0000 0.0000 0.7500
Rb1 0.3333 0.6667 0.2500
Rb2 0.6667 0.3333 0.7500

---

This record from the Alexandria database describes a geometry-optimized NaIn3Ni structure. The functional is GGA-PBE.

Output
For the formation energy, the calculation gives -0.103 eV/atom. The calculation puts the distance to the lowest polymorph of the same formula at 0.0 meV per atom. The value obtained for the total magnetic moment is 0.0 Bohr magnetons per cell. The crystal system is orthorhombic.

Cell: 4.3971 8.9348 11.7780 Å, 90.00 90.00 90.00°
Fractional positions:
Na1 0.7500 0.8165 0.9960
Na2 0.2500 0.6835 0.4960
Na3 0.7500 0.3165 0.5040
Na4 0.2500 0.1835 0.0040
In1 0.2500 0.5628 0.0775
In2 0.7500 0.4372 0.9225
In3 0.2500 0.0628 0.4225
In4 0.7500 0.9372 0.5775
In5 0.2500 0.3830 0.7079
In6 0.7500 0.1170 0.2079
In7 0.2500 0.8830 0.7921
In8 0.7500 0.6436 0.7169
In9 0.2500 0.3564 0.2831
In10 0.7500 0.1436 0.7831
In11 0.7500 0.6170 0.2921
In12 0.2500 0.8564 0.2169
Ni1 0.2500 0.1031 0.6475
Ni2 0.2500 0.6031 0.8525
Ni3 0.7500 0.3969 0.1475
Ni4 0.7500 0.8969 0.3525

---

This record from the Alexandria database describes a geometry-optimized MgTaCl2 structure. The functional is GGA-PBE.

Output
The calculation puts the distance to the lowest polymorph of the same formula at 480.2 meV per atom. The value obtained for the total magnetic moment is 0.0 Bohr magnetons per cell. The formation energy without anion corrections comes out at -0.08 eV per atom. The crystal system is monoclinic.

Cell: 5.5189 5.5189 3.1102 Å, 69.76 69.76 104.56°
Fractional positions:
Cl1 0.0000 0.0000 0.0000
Cl2 0.5000 0.5000 0.0000
Mg1 0.5000 0.0000 0.5000
Ta1 0.0000 0.5000 0.5000

---

This record from the Alexandria database describes a geometry-optimized Zr8Zn2Tc structure. The functional is GGA-PBE.

Output
For the formation energy, the calculation gives -0.094 eV/atom. The value obtained for the total magnetic moment is 0.0 Bohr magnetons per cell. The crystal system is monoclinic.

Cell: 4.8958 6.9741 7.8026 Å, 113.39 108.28 90.00°
Fractional positions:
Zr1 0.4000 0.5705 0.8000
Zr2 0.6626 0.9234 0.3251
Zr3 0.8187 0.7511 0.6375
Zr4 0.9772 0.2216 0.9545
Zr5 0.1813 0.2489 0.3625
Zr6 0.3374 0.0766 0.6749
Zr7 0.6000 0.4295 0.2000
Zr8 0.0228 0.7784 0.0455
Zn1 0.8130 0.3421 0.6260
Zn2 0.1870 0.6579 0.3740
Tc1 0.5000 0.0000 0.0000

---

This record from the Alexandria database describes a geometry-optimized MgRuSe structure. The functional is GGA-PBE.

Output
The calculation puts the distance to the lowest polymorph of the same formula at 38.7 meV per atom. The value obtained for the total magnetic moment is 0.0 Bohr magnetons per cell. The formation energy without anion corrections comes out at -0.18 eV per atom. The crystal system is tetragonal.

Cell: 5.8887 5.8889 3.1008 Å, 74.73 74.74 30.53°
Fractional positions:
Mg1 0.9846 0.9846 0.0154
Ru1 0.3169 0.3169 0.6831
Se1 0.6985 0.6985 0.3015

---

This record from the Alexandria database describes a geometry-optimized La2PmTe structure. The functional is GGA-PBE.

Output
The calculation puts the distance to the lowest polymorph of the same formula at 11.2 meV per atom. The value obtained for the total magnetic moment is 0.5 Bohr magnetons per cell. The formation energy without anion corrections comes out at -0.61 eV per atom. The crystal system is trigonal.

Cell: 4.0820 4.0820 10.4069 Å, 78.69 78.69 60.00°
Fractional positions:
La1 0.0720 0.0720 0.7841
La2 0.2614 0.2614 0.2157
Pm1 0.4998 0.4998 0.5007
Te1 0.6668 0.6668 0.9996

---

This record from the Alexandria database describes a geometry-optimized PRh structure. The functional is GGA-PBE.

Output
For the formation energy, the calculation gives 0.284 eV/atom. The value obtained for the total magnetic moment is 0.0 Bohr magnetons per cell. The crystal system is cubic.

Cell: 4.3032 4.3032 4.3032 Å, 60.00 60.00 60.00°
Fractional positions:
P1 0.5000 0.5000 0.5000
P2 0.7500 0.7500 0.7500
Rh1 0.0000 0.0000 0.0000
Rh2 0.2500 0.2500 0.2500

---

This record from the Alexandria database describes a geometry-optimized BaGaAs2 structure. The functional is GGA-PBE.

Output
For the formation energy, the calculation gives 0.143 eV/atom. The value obtained for the total magnetic moment is 0.5 Bohr magnetons per cell. The crystal system is trigonal.

Cell: 3.7372 3.7372 9.8141 Å, 79.02 79.02 60.00°
Fractional positions:
As1 0.1125 0.1125 0.6624
As2 0.8875 0.8875 0.3376
Ba1 0.0000 0.0000 0.0000
Ga1 0.5000 0.5000 0.5000

---

This record from the Alexandria database describes a geometry-optimized Li5ZnSn structure. The functional is GGA-PBE.

Output
For the formation energy, the calculation gives -0.192 eV/atom. The value obtained for the total magnetic moment is 0.0 Bohr magnetons per cell. The crystal system is monoclinic.

Cell: 5.2185 5.2185 9.8692 Å, 75.75 75.75 96.20°
Fractional positions:
Li1 0.9887 0.5969 0.3422
Li2 0.4695 0.7646 0.4684
Li3 0.5969 0.9887 0.8422
Li4 0.8596 0.1404 0.2500
Li5 0.2354 0.5305 0.0316
Li6 0.7646 0.4695 0.9684
Li7 0.1404 0.8596 0.7500
Li8 0.4031 0.0113 0.1578
Li9 0.5305 0.2354 0.5316
Li10 0.0113 0.4031 0.6578
Zn1 0.5078 0.4922 0.2500
Zn2 0.4922 0.5078 0.7500
Sn1 0.0000 0.0000 0.0000
Sn2 0.0000 0.0000 0.5000

---

Question: Among the records above, which one has the highest total magnetic moment?
Answer: RbCaNb